The following is a PBE with a Hubbard U calculation of an optimized crystal structure of CaUVO6, from Alexandria.

## Properties
Uncorrected energy ... -8.392 eV per atom

Lattice parameters (Å, degrees): 5.4240 5.4240 9.8779 90.00 90.00 120.00
Space group P-31c (No. 163)
Unique sites:
Ca: 0.0000 0.0000 0.0000 (multiplicity 2)
U: 0.3333 0.6667 0.2500 (multiplicity 2)
V: 0.3333 0.6667 0.7500 (multiplicity 2)
O: 0.0162 0.3717 0.6432 (multiplicity 12)